First-principles (PBE) data for a relaxed AsIr2Rh crystal, as listed in Alexandria.

POSCAR file:
```
AsIr2Rh
1.0
2.761 -3.783 0.000
2.761 3.783 0.000
0.000 0.000 2.842
As Ir Rh
1 2 1
Cartesian
0.000 0.000 0.000
1.381 1.891 1.421
1.381 -1.891 1.421
2.761 0.000 0.000
```

Output
The calculated density is 15.726 g/cm3. For the total DFT energy (no corrections), the calculation gives -29.3 eV/cell. Its energy of formation from the pure elements is 112 meV/atom. Its crystal system is orthorhombic. The symmetry is No. 65.

First-principles (PBE) data for a relaxed TbNdPtRh crystal, as listed in Alexandria.

POSCAR file:
```
TbNdPtRh
1.0
4.407 0.000 0.000
0.000 1.933 5.370
0.000 -1.933 5.370
Tb Nd Pt Rh
1 1 1 1
Cartesian
0.000 0.000 0.000
2.204 0.000 3.018
0.000 0.000 7.738
2.204 0.000 5.871
```

Output
The calculated density is 10.907 g/cm3. For the total DFT energy (no corrections), the calculation gives -26.7 eV/cell. Its energy of formation from the pure elements is -979 meV/atom. Its crystal system is orthorhombic. The symmetry is No. 38.